(1)
VASP calculation (meta-GGA SCAN) on ZnP2 at its PBEsol-relaxed geometry.

## Properties
**ΔE_f**: 0.528 eV/atom
**SG**: Fm-3m (225)

Cell and atoms, written as extended XYZ:
```
3
Lattice="-2.675 0.207 3.167 -2.335 -3.294 0.964 0.745 -2.122 3.489" Properties=species:S:1:pos:R:3 pbc="T T T"
P -1.066 -1.302 1.905
P -3.199 -3.907 5.714
Zn 0.000 0.000 0.000
```



(2)
VASP calculation (meta-GGA SCAN) on Zn3P2 at its PBEsol-relaxed geometry.

## Properties
**ΔE_f**: -0.083 eV/atom
**SG**: P-3m1 (164)
**Offset from the most stable computed form**: 0.145 eV/atom

Cell and atoms, written as extended XYZ:
```
5
Lattice="3.833 0.000 0.000 -1.916 3.319 0.000 0.000 0.000 6.340" Properties=species:S:1:pos:R:3 pbc="T T T"
Zn 0.000 2.213 2.384
Zn 1.916 1.106 3.956
P 0.000 2.213 4.894
P 1.916 1.106 1.446
Zn 0.000 0.000 0.000
```



(3)
VASP calculation (meta-GGA SCAN) on ZnP3 at its PBEsol-relaxed geometry.

## Properties
**ΔE_f**: 0.178 eV/atom
**SG**: Cmcm (63)
**Offset from the most stable computed form**: 0.338 eV/atom

Cell and atoms, written as extended XYZ:
```
8
Lattice="3.181 0.000 0.000 0.000 6.341 0.000 0.000 -3.171 6.781" Properties=species:S:1:pos:R:3 pbc="T T T"
P 2.386 -1.773 4.109
P 0.795 4.944 2.672
P 0.795 3.171 6.067
Zn 2.386 0.000 5.784
P 2.386 1.773 4.109
P 0.795 1.398 2.672
Zn 0.795 3.171 0.997
P 2.386 0.000 0.714
```